(1)
A relaxed structure of CaHo2PaBi4. Source: the Alexandria database, functional PBE.

Cell: 7.779 4.489 7.793 Å, 90.00 108.97 90.00°
Space group P2/m (No. 10)
Unique sites:
1 Ca 0.000 0.000 0.000
2 Ho 0.500 0.000 0.500
3 Ho 0.500 0.500 0.000
4 Pa 0.000 0.500 0.500
5 Bi 0.253 0.000 0.749
6 Bi 0.253 0.500 0.257

Output
Total magnetic moment = 0.749 Bohr magnetons per cell
Energy of formation = -0.641 eV/atom



(2)
A relaxed structure of TaSi. Source: the Alexandria database, functional PBE.

Cell: 7.080 7.080 7.080 Å, 90.00 90.00 90.00°
Space group Pm-3n (No. 223)
Unique sites:
1 Ta 0.000 0.250 0.500
2 Si 0.000 0.500 0.250

Output
Total magnetic moment = 0.003 Bohr magnetons per cell
Formation energy from raw total energies = 1198 meV per atom



(3)
A relaxed structure of NiMoSe2. Source: the Alexandria database, functional PBE.

Cell: 3.203 3.876 5.347 Å, 90.00 90.00 90.00°
Space group Pmmm (No. 47)
Unique sites:
1 Ni 0.000 0.000 0.000
2 Mo 0.500 0.000 0.500
3 Se 0.000 0.500 0.500
4 Se 0.500 0.500 0.000

Output
ΔE to the lowest computed polymorph = 17.415 kcal/mol of atoms
Total magnetic moment = 0.000 Bohr magnetons per cell
Formation energy from raw total energies = 444 meV per atom



(4)
A relaxed structure of Sc2TiCuIr. Source: the Alexandria database, functional PBE.

Cell: 4.784 4.784 4.330 Å, 90.00 90.00 90.00°
Space group P4/mmm (No. 123)
Unique sites:
1 Sc 0.000 0.500 0.000
2 Ti 0.000 0.000 0.000
3 Cu 0.000 0.000 0.500
4 Ir 0.500 0.500 0.500

Output
Total magnetic moment = 0.150 Bohr magnetons per cell
Energy of formation = 0.999 eV/atom



(5)
A relaxed structure of Zr2Pt4Rh3. Source: the Alexandria database, functional PBE.

Cell: 9.046 4.015 8.507 Å, 90.00 109.25 90.00°
Space group C2/m (No. 12)
Unique sites:
1 Zr 0.165 0.000 0.222
2 Pt 0.005 0.500 0.664
3 Pt 0.168 0.000 0.892
4 Rh 0.000 0.500 0.000
5 Rh 0.161 0.000 0.544

Output
Total magnetic moment = 0.000 Bohr magnetons per cell
Energy of formation = -0.727 eV/atom



(6)
A relaxed structure of HfAsW2I. Source: the Alexandria database, functional PBE.

Cell: 5.036 5.036 5.295 Å, 90.00 90.00 90.00°
Space group P4/mmm (No. 123)
Unique sites:
1 Hf 0.000 0.000 0.000
2 As 0.500 0.500 0.500
3 W 0.000 0.500 0.000
4 I 0.000 0.000 0.500

Output
Total magnetic moment = 2.716 Bohr magnetons per cell
Formation energy from raw total energies = 2333 meV per atom



(7)
A relaxed structure of HfHRuRh2. Source: the Alexandria database, functional PBE.

Cell: 3.974 3.974 4.017 Å, 90.00 90.00 90.00°
Space group P4/mmm (No. 123)
Unique sites:
1 Hf 0.000 0.000 0.000
2 H 0.500 0.500 0.500
3 Ru 0.500 0.500 0.000
4 Rh 0.000 0.500 0.500

Output
ΔE to the lowest computed polymorph = 0.000 kcal/mol of atoms
Total magnetic moment = 0.000 Bohr magnetons per cell



(8)
A relaxed structure of KPSeCl2. Source: the Alexandria database, functional PBE.

Cell: 5.639 5.639 6.637 Å, 90.00 90.00 90.00°
Space group P4/mmm (No. 123)
Unique sites:
1 K 0.000 0.000 0.000
2 P 0.000 0.000 0.500
3 Se 0.500 0.500 0.500
4 Cl 0.000 0.500 0.000

Output
ΔE to the lowest computed polymorph = 22.812 kcal/mol of atoms
Total magnetic moment = 4.260 Bohr magnetons per cell
Formation energy from raw total energies = 682 meV per atom



(9)
A relaxed structure of Cs2LaCl7. Source: the Alexandria database, functional PBE.

Cell: 7.817 7.817 12.595 Å, 90.00 90.00 90.00°
Space group I4/mmm (No. 139)
Unique sites:
1 Cs 0.000 0.500 0.250
2 La 0.000 0.000 0.000
3 Cl 0.000 0.000 0.218
4 Cl 0.000 0.000 0.500
5 Cl 0.249 0.249 0.500

Output
Total magnetic moment = 4.000 Bohr magnetons per cell
Formation energy from raw total energies = -1597 meV per atom



(10)
A relaxed structure of Ba2GaPd2. Source: the Alexandria database, functional PBE.

Cell: 3.912 3.912 19.347 Å, 90.00 90.00 90.00°
Space group I4/mmm (No. 139)
Unique sites:
1 Ba 0.000 0.000 0.117
2 Ga 0.000 0.000 0.500
3 Pd 0.000 0.500 0.250

Output
Total magnetic moment = 0.592 Bohr magnetons per cell
Energy of formation = -0.249 eV/atom



(11)
A relaxed structure of TbPrNd3. Source: the Alexandria database, functional PBE.

Cell: 6.641 6.649 9.866 Å, 70.45 89.66 60.26°
Space group P-1 (No. 2)
Unique sites:
1 Tb 0.017 0.044 0.315
2 Pr 0.000 0.500 0.000
3 Pr 0.500 0.500 0.500
4 Nd 0.150 0.369 0.687
5 Nd 0.342 0.810 0.041
6 Nd 0.438 0.211 0.312

Output
ΔE to the lowest computed polymorph = 0.000 kcal/mol of atoms
Total magnetic moment = 0.000 Bohr magnetons per cell
Energy of formation = 0.152 eV/atom



(12)
A relaxed structure of CaY3Tc. Source: the Alexandria database, functional PBE.

Cell: 5.468 5.468 5.468 Å, 90.00 90.00 90.00°
Space group Pm-3m (No. 221)
Unique sites:
1 Ca 0.000 0.000 0.000
2 Y 0.000 0.500 0.500
3 Tc 0.500 0.500 0.500

Output
ΔE to the lowest computed polymorph = 0.000 kcal/mol of atoms
Total magnetic moment = 0.000 Bohr magnetons per cell
Energy of formation = 0.063 eV/atom



(13)
A relaxed structure of TbPm2Zn. Source: the Alexandria database, functional PBE.

Cell: 4.832 4.832 4.798 Å, 90.00 90.00 90.00°
Space group P4/mmm (No. 123)
Unique sites:
1 Tb 0.000 0.000 0.000
2 Pm 0.000 0.500 0.500
3 Zn 0.500 0.500 0.000

Output
ΔE to the lowest computed polymorph = 2.597 kcal/mol of atoms
Total magnetic moment = 0.002 Bohr magnetons per cell
Energy of formation = -0.035 eV/atom



(14)
A relaxed structure of NaSrBr2Cl. Source: the Alexandria database, functional PBE.

Cell: 4.270 13.983 9.824 Å, 90.00 90.00 90.00°
Space group Cmcm (No. 63)
Unique sites:
1 Na 0.000 0.000 0.000
2 Sr 0.000 0.263 0.250
3 Br 0.000 0.353 0.565
4 Cl 0.000 0.095 0.750

Output
ΔE to the lowest computed polymorph = 0.000 kcal/mol of atoms
Total magnetic moment = 0.000 Bohr magnetons per cell
Formation energy from raw total energies = -1999 meV per atom



(15)
A relaxed structure of TlTc2PdO8. Source: the Alexandria database, functional PBE.

Cell: 8.993 6.184 8.087 Å, 90.00 96.47 90.00°
Space group C2/m (No. 12)
Unique sites:
1 Tl 0.000 0.000 0.000
2 Tc 0.122 0.500 0.285
3 Pd 0.000 0.000 0.500
4 O 0.014 0.265 0.300
5 O 0.197 0.500 0.095
6 O 0.234 0.000 0.548

Output
Total magnetic moment = 2.048 Bohr magnetons per cell
Formation energy from raw total energies = -1146 meV per atom



(16)
A relaxed structure of NdSm2Th. Source: the Alexandria database, functional PBE.

Cell: 5.129 5.129 5.114 Å, 90.00 90.00 90.00°
Space group P4/mmm (No. 123)
Unique sites:
1 Nd 0.000 0.000 0.000
2 Sm 0.000 0.500 0.500
3 Th 0.500 0.500 0.000

Output
ΔE to the lowest computed polymorph = 0.862 kcal/mol of atoms
Total magnetic moment = 0.000 Bohr magnetons per cell
Energy of formation = 0.057 eV/atom



(17)
A relaxed structure of KMg2Nb. Source: the Alexandria database, functional PBE.

Cell: 8.503 8.503 6.732 Å, 90.00 90.00 90.00°
Space group I-42d (No. 122)
Unique sites:
1 K 0.000 0.000 0.000
2 Mg 0.210 0.750 0.625
3 Nb 0.000 0.000 0.500

Output
ΔE to the lowest computed polymorph = 4.206 kcal/mol of atoms
Total magnetic moment = 13.315 Bohr magnetons per cell
Energy of formation = 1.060 eV/atom



(18)
A relaxed structure of Ce8Tl2Pb3. Source: the Alexandria database, functional PBE.

Cell: 6.4803 6.4803 34.3283 Å, 90.00 90.00 120.00°
Space group R-3m (No. 166, hexagonal axes)
Unique sites:
1 Ce 0.0000 0.0000 0.2091
2 Ce 0.0470 0.5235 0.2813
3 Tl 0.0000 0.0000 0.1205
4 Pb 0.0000 0.0000 0.3017
5 Pb 0.0000 0.0000 0.5000

Output
Total magnetic moment = 17.754 Bohr magnetons per cell
Energy of formation = -0.023 eV/atom



(19)
A relaxed structure of U2Ni5H5. Source: the Alexandria database, functional PBE.

Cell: 2.704 4.769 9.523 Å, 90.00 90.00 90.00°
Space group Pmmm (No. 47)
Unique sites:
1 U 0.000 0.000 0.000
2 U 0.000 0.500 0.500
3 Ni 0.500 0.000 0.500
4 Ni 0.500 0.249 0.255
5 H 0.000 0.000 0.253
6 H 0.000 0.500 0.242
7 H 0.500 0.500 0.000

Output
Total magnetic moment = 5.281 Bohr magnetons per cell
DFT total energy = -67.2 eV for the cell shown



(20)
A relaxed structure of ZrInRu2. Source: the Alexandria database, functional PBE.

Cell: 2.936 2.936 8.213 Å, 90.00 90.00 90.00°
Space group P4mm (No. 99)
Unique sites:
1 Zr 0.000 0.000 0.000
2 In 0.500 0.500 0.303
3 Ru 0.000 0.000 0.548
4 Ru 0.500 0.500 0.739

Output
Total magnetic moment = 0.000 Bohr magnetons per cell
Energy of formation = -0.050 eV/atom